1.
Compound: Cd2CoNO
Source: Alexandria
Functional: GGA+U
Structure: relaxed

Lattice parameters (Å, degrees): 5.0463 3.4317 5.0463 90.00 90.00 90.00
Closest atoms and distances in Å follow each position.
Atoms (fractional coordinates):
N (0.5000, 0.5000, 0.5000)  8 Cd 3.05
Co (0.0000, 0.0000, 0.0000)  2 O 1.72
O (0.0000, 0.5000, 0.0000)  2 Co 1.72
Cd (0.0000, 0.0000, 0.5000)  2 Co 2.52
Cd (0.5000, 0.0000, 0.0000)  2 Co 2.52

Properties
As for the space group: P4/mmm (123).

2.
Compound: Cd2CoNO
Source: Alexandria
Functional: GGA+U
Structure: relaxed

Lattice parameters (Å, degrees): 4.3945 4.0748 4.3945 90.00 90.00 90.00
Closest atoms and distances in Å follow each position.
Atoms (fractional coordinates):
N (0.0000, 0.0000, 0.0000)  2 O 2.04, 4 Cd 2.20
Co (0.5000, 0.5000, 0.5000)  8 Cd 3.00, 4 O 3.11
O (0.0000, 0.5000, 0.0000)  2 N 2.04
Cd (0.0000, 0.0000, 0.5000)  2 N 2.20
Cd (0.5000, 0.0000, 0.0000)  2 N 2.20

Properties
As for the space group: P4/mmm (123).

3.
Compound: Cd2CoNO
Source: Alexandria
Functional: GGA+U
Structure: relaxed

Lattice parameters (Å, degrees): 4.6299 3.3935 4.6299 90.00 90.00 90.00
Closest atoms and distances in Å follow each position.
Atoms (fractional coordinates):
N (0.0000, 0.0000, 0.0000)  2 Co 1.70
Co (0.0000, 0.5000, 0.0000)  2 N 1.70
O (0.5000, 0.5000, 0.5000)  8 Cd 2.87
Cd (0.0000, 0.0000, 0.5000)  2 N 2.31
Cd (0.5000, 0.0000, 0.0000)  2 N 2.31

Properties
As for the space group: P4/mmm (123).

Least stable structure among those shown: 2.